No. 1
Material: CuTe2Se
Method: DFT, PBE
State: relaxed

abc: 6.433 6.433 6.433
angles: 146.74 135.40 56.75
Fractional coordinates of all 4 atoms:
Cu 0.489 0.489 0.000
Se 0.344 0.844 0.500
Te 0.002 0.002 0.000
Te 0.665 0.165 0.500

Properties
Formation energy (no corrections) (eV/atom): 0.10
E_tot (eV/atom): -3.3621
N(E_F) (states/eV per cell): 1.831

No. 2
Material: CuTe2Se
Method: DFT, PBE
State: relaxed

abc: 3.371 3.371 9.254
angles: 90.00 90.00 90.00
Fractional coordinates of all 4 atoms:
Cu 0.000 0.000 0.671
Se 0.500 0.500 0.581
Te 0.000 0.000 0.946
Te 0.500 0.500 0.302

Properties
Formation energy (no corrections) (eV/atom): 0.05
E_tot (eV/atom): -3.4166
N(E_F) (states/eV per cell): 2.733

No. 3
Material: CuTe2Se
Method: DFT, PBE
State: relaxed

abc: 3.797 7.860 3.965
angles: 90.00 90.00 90.00
Fractional coordinates of all 4 atoms:
Cu 0.500 0.000 0.500
Se 0.000 0.500 0.500
Te 0.000 0.000 0.000
Te 0.500 0.500 0.000

Properties
Formation energy (no corrections) (eV/atom): 0.30
E_tot (eV/atom): -3.1667
N(E_F) (states/eV per cell): 4.041

No. 4
Material: Cu3TeSe
Method: DFT, PBE
State: relaxed

abc: 4.873 4.873 4.873
angles: 90.00 90.00 90.00
Fractional coordinates of all 5 atoms:
Te 0.000 0.000 0.000
Cu 0.000 0.500 0.000
Cu 0.000 0.000 0.500
Cu 0.500 0.000 0.000
Se 0.500 0.500 0.500

Properties
Formation energy (no corrections) (eV/atom): 0.61
E_tot (eV/atom): -3.1741
N(E_F) (states/eV per cell): 6.089

No. 5
Material: CuTeSe3
Method: DFT, PBE
State: relaxed

abc: 4.456 8.130 9.963
angles: 122.42 83.68 84.82
Fractional coordinates of all 10 atoms:
Cu 0.252 0.840 0.818
Cu 0.748 0.160 0.182
Te 0.350 0.731 0.355
Te 0.650 0.269 0.645
Se 0.779 0.015 0.345
Se 0.788 0.502 0.357
Se 0.221 0.985 0.655
Se 0.212 0.498 0.643
Se 0.289 0.157 0.067
Se 0.711 0.843 0.933

Properties
Formation energy (no corrections) (eV/atom): 0.03
E_tot (eV/atom): -3.5078
N(E_F) (states/eV per cell): 4.414

No. 6
Material: CuTe2Se4
Method: DFT, PBE
State: relaxed

abc: 4.282 7.033 11.449
angles: 90.00 90.00 90.00
Fractional coordinates of all 14 atoms:
Cu 0.000 0.000 0.500
Cu 0.000 0.500 0.000
Te 0.500 0.924 0.829
Te 0.500 0.076 0.171
Te 0.500 0.424 0.671
Te 0.500 0.576 0.329
Se 0.000 0.634 0.808
Se 0.000 0.366 0.192
Se 0.000 0.134 0.692
Se 0.000 0.866 0.308
Se 0.500 0.766 0.551
Se 0.500 0.234 0.449
Se 0.500 0.734 0.051
Se 0.500 0.266 0.949

Properties
Formation energy (no corrections) (eV/atom): 0.09
E_tot (eV/atom): -3.3875
N(E_F) (states/eV per cell): 8.050